(1)
Here is a geometry-optimized LiTiMnFe2 structure from Alexandria. Energies are from PBE.

```
data_LiTiMnFe2
_cell_length_a 4.3649
_cell_length_b 4.3649
_cell_length_c 4.6502
_cell_angle_alpha 90.00
_cell_angle_beta 90.00
_cell_angle_gamma 90.00
_space_group_name_H-M_alt 'P 4/m m m'
_space_group_IT_number 123
_space_group_name_Hall '-P 4 2'
loop_
_atom_site_label
_atom_site_type_symbol
_atom_site_fract_x
_atom_site_fract_y
_atom_site_fract_z
Li1 Li 0.0000 0.0000 0.0000
Ti1 Ti 0.5000 0.5000 0.5000
Mn1 Mn 0.5000 0.5000 0.0000
Fe1 Fe 0.0000 0.5000 0.5000
```

Output
total magnetization = 6.427 μB per formula unit
crystal system = tetragonal
calculated total energy = -30.8 eV/cell
formation enthalpy at 0 K = 1.01 eV per atom

(2)
Here is a geometry-optimized Li2MnVFe structure from Alexandria. Energies are from PBE.

```
data_Li2MnVFe
_cell_length_a 4.3820
_cell_length_b 4.3820
_cell_length_c 3.9919
_cell_angle_alpha 90.00
_cell_angle_beta 90.00
_cell_angle_gamma 90.00
_space_group_name_H-M_alt 'P 4/m m m'
_space_group_IT_number 123
_space_group_name_Hall '-P 4 2'
loop_
_atom_site_label
_atom_site_type_symbol
_atom_site_fract_x
_atom_site_fract_y
_atom_site_fract_z
Li1 Li 0.0000 0.5000 0.0000
Mn1 Mn 0.0000 0.0000 0.5000
V1 V 0.5000 0.5000 0.0000
Fe1 Fe 0.5000 0.5000 0.5000
```

Output
total magnetization = 0.253 μB per formula unit
crystal system = tetragonal
calculated total energy = -22.9 eV/cell
formation enthalpy at 0 K = 1.54 eV per atom

(3)
Here is a geometry-optimized Li2MnFeW structure from Alexandria. Energies are from PBE.

```
data_Li2MnFeW
_cell_length_a 4.7387
_cell_length_b 4.7387
_cell_length_c 4.3997
_cell_angle_alpha 90.00
_cell_angle_beta 90.00
_cell_angle_gamma 90.00
_space_group_name_H-M_alt 'P 4/m m m'
_space_group_IT_number 123
_space_group_name_Hall '-P 4 2'
loop_
_atom_site_label
_atom_site_type_symbol
_atom_site_fract_x
_atom_site_fract_y
_atom_site_fract_z
Li1 Li 0.0000 0.5000 0.0000
Mn1 Mn 0.0000 0.0000 0.5000
Fe1 Fe 0.5000 0.5000 0.5000
W1 W 0.0000 0.0000 0.0000
```

Output
total magnetization = 2.650 μB per formula unit
crystal system = tetragonal
calculated total energy = -25.9 eV/cell
formation enthalpy at 0 K = 1.70 eV per atom

What did the second record say?
Here is a geometry-optimized Li2MnVFe structure from Alexandria. Energies are from PBE.

```
data_Li2MnVFe
_cell_length_a 4.3820
_cell_length_b 4.3820
_cell_length_c 3.9919
_cell_angle_alpha 90.00
_cell_angle_beta 90.00
_cell_angle_gamma 90.00
_space_group_name_H-M_alt 'P 4/m m m'
_space_group_IT_number 123
_space_group_name_Hall '-P 4 2'
loop_
_atom_site_label
_atom_site_type_symbol
_atom_site_fract_x
_atom_site_fract_y
_atom_site_fract_z
Li1 Li 0.0000 0.5000 0.0000
Mn1 Mn 0.0000 0.0000 0.5000
V1 V 0.5000 0.5000 0.0000
Fe1 Fe 0.5000 0.5000 0.5000
```

Output
total magnetization = 0.253 μB per formula unit
crystal system = tetragonal
calculated total energy = -22.9 eV/cell
formation enthalpy at 0 K = 1.54 eV per atom